No. 1
First-principles (PBE-GGA) data for an optimized crystal structure of BaTlP, as listed in Alexandria via LeMat-Bulk.

Unit cell a=5.273 b=5.273 c=5.273 alpha=60.00 beta=60.00 gamma=60.00
Positions (direct):
Ba 0.000 0.000 0.000
Tl 0.750 0.750 0.750
P 0.500 0.500 0.500

Summary:
Formation enthalpy at 0 K (meV per atom): -197
Energy above the lowest structure with this stoichiometry (eV per formula unit): 1.283
E (eV per atom): -3.430

=====

No. 2
First-principles (PBE-GGA) data for an optimized crystal structure of Ba6Tl2AuO, as listed in Alexandria via LeMat-Bulk.

Unit cell a=8.381 b=11.834 c=8.385 alpha=90.00 beta=90.00 gamma=90.00
Positions (direct):
Ba 0.015 0.250 0.024
Ba 0.019 0.250 0.488
Ba 0.250 0.017 0.255
Ba 0.250 0.483 0.255
Ba 0.481 0.250 0.488
Ba 0.485 0.250 0.024
Ba 0.515 0.750 0.976
Ba 0.519 0.750 0.512
Ba 0.750 0.517 0.745
Ba 0.750 0.983 0.745
Ba 0.981 0.750 0.512
Ba 0.985 0.750 0.976
Tl 0.250 0.501 0.745
Tl 0.250 0.999 0.745
Tl 0.750 0.001 0.255
Tl 0.750 0.499 0.255
Au 0.250 0.750 0.246
Au 0.750 0.250 0.754
O 0.250 0.250 0.253
O 0.750 0.750 0.747

Summary:
E (eV per atom): -3.150
Formation energy from raw total energies (eV per atom): -0.699

=====

No. 3
First-principles (PBE-GGA) data for an optimized crystal structure of CdIrS2Cl, as listed in Alexandria via LeMat-Bulk.

Unit cell a=4.669 b=4.669 c=4.913 alpha=90.00 beta=90.00 gamma=90.00
Positions (direct):
Cd 0.000 0.000 0.000
Ir 0.500 0.500 0.500
S 0.000 0.500 0.500
S 0.500 0.000 0.500
Cl 0.500 0.500 0.000

Summary:
Energy above the lowest structure with this stoichiometry (eV per formula unit): 0.000
E (eV per atom): -3.785
Formation energy from raw total energies (eV per atom): 0.190

=====

No. 4
First-principles (PBE-GGA) data for an optimized crystal structure of Ti2As2Pt, as listed in Alexandria via LeMat-Bulk.

Unit cell a=6.880 b=6.880 c=3.443 alpha=90.00 beta=90.00 gamma=90.00
Positions (direct):
Ti 0.150 0.350 0.000
Ti 0.350 0.850 0.000
Ti 0.650 0.150 0.000
Ti 0.850 0.650 0.000
As 0.152 0.652 0.500
As 0.348 0.152 0.500
As 0.652 0.848 0.500
As 0.848 0.348 0.500
Pt 0.000 0.000 0.500
Pt 0.500 0.500 0.500

Summary:
Formation enthalpy at 0 K (meV per atom): -643
E (eV per atom): -6.869

=====

No. 5
First-principles (PBE-GGA) data for an optimized crystal structure of SrCaSi4, as listed in Alexandria via LeMat-Bulk.

Unit cell a=4.554 b=7.665 c=15.828 alpha=90.00 beta=90.04 gamma=90.00
Positions (direct):
Sr 0.000 0.120 0.155
Sr 0.000 0.380 0.655
Sr 0.000 0.620 0.345
Sr 0.000 0.880 0.845
Ca 0.000 0.128 0.412
Ca 0.000 0.372 0.912
Ca 0.000 0.628 0.088
Ca 0.000 0.872 0.588
Si 0.499 0.617 0.552
Si 0.499 0.883 0.052
Si 0.500 0.042 0.690
Si 0.500 0.133 0.542
Si 0.500 0.232 0.805
Si 0.500 0.268 0.305
Si 0.500 0.367 0.042
Si 0.500 0.458 0.190
Si 0.500 0.542 0.810
Si 0.500 0.633 0.958
Si 0.500 0.732 0.695
Si 0.500 0.768 0.195
Si 0.500 0.867 0.458
Si 0.500 0.958 0.310
Si 0.501 0.117 0.948
Si 0.501 0.383 0.448

Summary:
Energy above the lowest structure with this stoichiometry (eV per formula unit): 0.664
E (eV per atom): -4.482
Formation energy from raw total energies (eV per atom): -0.253

=====

No. 6
First-principles (PBE-GGA) data for an optimized crystal structure of LaSm12Er3, as listed in Alexandria via LeMat-Bulk.

Unit cell a=5.110 b=5.110 c=20.446 alpha=90.00 beta=90.00 gamma=90.00
Positions (direct):
La 0.000 0.000 0.000
Sm 0.000 0.500 0.128
Sm 0.000 0.500 0.376
Sm 0.000 0.500 0.624
Sm 0.000 0.500 0.872
Sm 0.500 0.000 0.128
Sm 0.500 0.000 0.376
Sm 0.500 0.000 0.624
Sm 0.500 0.000 0.872
Sm 0.500 0.500 0.000
Sm 0.500 0.500 0.253
Sm 0.500 0.500 0.500
Sm 0.500 0.500 0.747
Er 0.000 0.000 0.252
Er 0.000 0.000 0.500
Er 0.000 0.000 0.748

Summary:
Formation enthalpy at 0 K (meV per atom): 19
E (eV per atom): -4.684

=====

| no. | size of the total moment (μB/atom) |
| --- | --- |
| 1 | 0.00 |
| 2 | 0.00 |
| 3 | 0.00 |
| 4 | 0.00 |
| 5 | 0.00 |
| 6 | 0.00 |